Record 1
# Zn2Ga2Sn (meta-GGA SCAN, PBEsol geometry)
data_Zn2Ga2Sn
_cell_length_a 7.8886
_cell_length_b 7.8886
_cell_length_c 2.9220
_cell_angle_alpha 90.00
_cell_angle_beta 90.00
_cell_angle_gamma 90.00
_space_group_name_H-M_alt 'P 1'
_space_group_IT_number 1
_space_group_name_Hall 'P 1'
loop_
_atom_site_label
_atom_site_type_symbol
_atom_site_fract_x
_atom_site_fract_y
_atom_site_fract_z
Zn1 Zn 0.1664 0.3336 0.0000
Zn2 Zn 0.3336 0.8336 0.0000
Zn3 Zn 0.6664 0.1664 0.0000
Zn4 Zn 0.8336 0.6664 0.0000
Ga1 Ga 0.1303 0.6303 0.5000
Ga2 Ga 0.3697 0.1303 0.5000
Ga3 Ga 0.6303 0.8697 0.5000
Ga4 Ga 0.8697 0.3697 0.5000
Sn1 Sn 0.0000 0.0000 0.5000
Sn2 Sn 0.5000 0.5000 0.5000
# * distance to the lowest polymorph of the same formula: 1.82 kcal/mol of atoms
# * total magnetization: 0.00 μB/f.u.
# * ΔH_f (0 K): 84 kJ/mol of formula units
# * symmetry: P4/mbm (127)
# * DOS(E_F): 3.91 states/eV/cell
# * raw total energy: -18.9547 eV/atom

***

Record 2
# Zr2ZnGaSn (meta-GGA SCAN, PBEsol geometry)
data_Zr2ZnGaSn
_cell_length_a 4.9992
_cell_length_b 4.9992
_cell_length_c 4.3526
_cell_angle_alpha 90.00
_cell_angle_beta 90.00
_cell_angle_gamma 90.00
_space_group_name_H-M_alt 'P 1'
_space_group_IT_number 1
_space_group_name_Hall 'P 1'
loop_
_atom_site_label
_atom_site_type_symbol
_atom_site_fract_x
_atom_site_fract_y
_atom_site_fract_z
Zr1 Zr 0.0000 0.5000 0.0000
Zr2 Zr 0.5000 0.0000 0.0000
Zn1 Zn 0.0000 0.0000 0.0000
Ga1 Ga 0.0000 0.0000 0.5000
Sn1 Sn 0.5000 0.5000 0.5000
# * total magnetization: 0.00 μB/f.u.
# * ΔH_f (0 K): 57 kJ/mol of formula units
# * symmetry: P4/mmm (123)
# * DOS(E_F): 2.78 states/eV/cell
# * raw total energy: -25.3188 eV/atom

***

Record 3
# ZrGa3Sn (meta-GGA SCAN, PBEsol geometry)
data_ZrGa3Sn
_cell_length_a 5.0142
_cell_length_b 5.0142
_cell_length_c 5.0142
_cell_angle_alpha 90.00
_cell_angle_beta 90.00
_cell_angle_gamma 90.00
_space_group_name_H-M_alt 'P 1'
_space_group_IT_number 1
_space_group_name_Hall 'P 1'
loop_
_atom_site_label
_atom_site_type_symbol
_atom_site_fract_x
_atom_site_fract_y
_atom_site_fract_z
Zr1 Zr 0.0000 0.0000 0.0000
Ga1 Ga 0.0000 0.5000 0.5000
Ga2 Ga 0.5000 0.0000 0.5000
Ga3 Ga 0.5000 0.5000 0.0000
Sn1 Sn 0.5000 0.5000 0.5000
# * total magnetization: 0.00 μB/f.u.
# * ΔH_f (0 K): 442 kJ/mol of formula units
# * symmetry: Pm-3m (221)
# * DOS(E_F): 3.91 states/eV/cell
# * raw total energy: -22.2150 eV/atom

***

Record 4
# ZrGaSn3 (meta-GGA SCAN, PBEsol geometry)
data_ZrGaSn3
_cell_length_a 5.4616
_cell_length_b 5.4616
_cell_length_c 5.4616
_cell_angle_alpha 90.00
_cell_angle_beta 90.00
_cell_angle_gamma 90.00
_space_group_name_H-M_alt 'P 1'
_space_group_IT_number 1
_space_group_name_Hall 'P 1'
loop_
_atom_site_label
_atom_site_type_symbol
_atom_site_fract_x
_atom_site_fract_y
_atom_site_fract_z
Zr1 Zr 0.0000 0.0000 0.0000
Ga1 Ga 0.5000 0.5000 0.5000
Sn1 Sn 0.0000 0.0000 0.5000
Sn2 Sn 0.0000 0.5000 0.0000
Sn3 Sn 0.5000 0.0000 0.0000
# * total magnetization: 0.00 μB/f.u.
# * ΔH_f (0 K): 180 kJ/mol of formula units
# * symmetry: Pm-3m (221)
# * DOS(E_F): 2.11 states/eV/cell
# * raw total energy: -30.5889 eV/atom

***

Record 5
# Sr3TaGa (meta-GGA SCAN, PBEsol geometry)
data_Sr3TaGa
_cell_length_a 5.7923
_cell_length_b 5.7923
_cell_length_c 5.7923
_cell_angle_alpha 90.00
_cell_angle_beta 90.00
_cell_angle_gamma 90.00
_space_group_name_H-M_alt 'P 1'
_space_group_IT_number 1
_space_group_name_Hall 'P 1'
loop_
_atom_site_label
_atom_site_type_symbol
_atom_site_fract_x
_atom_site_fract_y
_atom_site_fract_z
Sr1 Sr 0.0000 0.0000 0.5000
Sr2 Sr 0.0000 0.5000 0.0000
Sr3 Sr 0.5000 0.0000 0.0000
Ta1 Ta 0.0000 0.0000 0.0000
Ga1 Ga 0.5000 0.5000 0.5000
# * distance to the lowest polymorph of the same formula: 4.16 kcal/mol of atoms
# * total magnetization: 0.00 μB/f.u.
# * ΔH_f (0 K): 539 kJ/mol of formula units
# * symmetry: Pm-3m (221)
# * DOS(E_F): 4.71 states/eV/cell
# * raw total energy: -28.8339 eV/atom

***

Record 6
# Sr3TaGa (meta-GGA SCAN, PBEsol geometry)
data_Sr3TaGa
_cell_length_a 5.8822
_cell_length_b 5.8822
_cell_length_c 5.8822
_cell_angle_alpha 90.00
_cell_angle_beta 90.00
_cell_angle_gamma 90.00
_space_group_name_H-M_alt 'P 1'
_space_group_IT_number 1
_space_group_name_Hall 'P 1'
loop_
_atom_site_label
_atom_site_type_symbol
_atom_site_fract_x
_atom_site_fract_y
_atom_site_fract_z
Sr1 Sr 0.0000 0.0000 0.5000
Sr2 Sr 0.0000 0.5000 0.0000
Sr3 Sr 0.5000 0.0000 0.0000
Ta1 Ta 0.5000 0.5000 0.5000
Ga1 Ga 0.0000 0.0000 0.0000
# * distance to the lowest polymorph of the same formula: 0.00 kcal/mol of atoms
# * total magnetization: 4.01 μB/f.u.
# * ΔH_f (0 K): 452 kJ/mol of formula units
# * symmetry: Pm-3m (221)
# * DOS(E_F): 3.70 states/eV/cell
# * raw total energy: -29.0145 eV/atom

***

Record 7
# SrTaGa3 (meta-GGA SCAN, PBEsol geometry)
data_SrTaGa3
_cell_length_a 4.9923
_cell_length_b 4.9923
_cell_length_c 4.9923
_cell_angle_alpha 90.00
_cell_angle_beta 90.00
_cell_angle_gamma 90.00
_space_group_name_H-M_alt 'P 1'
_space_group_IT_number 1
_space_group_name_Hall 'P 1'
loop_
_atom_site_label
_atom_site_type_symbol
_atom_site_fract_x
_atom_site_fract_y
_atom_site_fract_z
Sr1 Sr 0.0000 0.0000 0.0000
Ta1 Ta 0.5000 0.5000 0.5000
Ga1 Ga 0.0000 0.5000 0.5000
Ga2 Ga 0.5000 0.0000 0.5000
Ga3 Ga 0.5000 0.5000 0.0000
# * total magnetization: 0.00 μB/f.u.
# * ΔH_f (0 K): -94 kJ/mol of formula units
# * symmetry: Pm-3m (221)
# * DOS(E_F): 1.63 states/eV/cell
# * raw total energy: -27.7748 eV/atom

***

Record 8
# SrGa3Tc (meta-GGA SCAN, PBEsol geometry)
data_SrGa3Tc
_cell_length_a 4.7985
_cell_length_b 4.7985
_cell_length_c 4.7985
_cell_angle_alpha 90.00
_cell_angle_beta 90.00
_cell_angle_gamma 90.00
_space_group_name_H-M_alt 'P 1'
_space_group_IT_number 1
_space_group_name_Hall 'P 1'
loop_
_atom_site_label
_atom_site_type_symbol
_atom_site_fract_x
_atom_site_fract_y
_atom_site_fract_z
Sr1 Sr 0.0000 0.0000 0.0000
Ga1 Ga 0.0000 0.5000 0.5000
Ga2 Ga 0.5000 0.0000 0.5000
Ga3 Ga 0.5000 0.5000 0.0000
Tc1 Tc 0.5000 0.5000 0.5000
# * total magnetization: 0.00 μB/f.u.
# * ΔH_f (0 K): -227 kJ/mol of formula units
# * symmetry: Pm-3m (221)
# * DOS(E_F): 1.15 states/eV/cell
# * raw total energy: -21.7455 eV/atom

***

Please write out number 7 again, unchanged.
# SrTaGa3 (meta-GGA SCAN, PBEsol geometry)
data_SrTaGa3
_cell_length_a 4.9923
_cell_length_b 4.9923
_cell_length_c 4.9923
_cell_angle_alpha 90.00
_cell_angle_beta 90.00
_cell_angle_gamma 90.00
_space_group_name_H-M_alt 'P 1'
_space_group_IT_number 1
_space_group_name_Hall 'P 1'
loop_
_atom_site_label
_atom_site_type_symbol
_atom_site_fract_x
_atom_site_fract_y
_atom_site_fract_z
Sr1 Sr 0.0000 0.0000 0.0000
Ta1 Ta 0.5000 0.5000 0.5000
Ga1 Ga 0.0000 0.5000 0.5000
Ga2 Ga 0.5000 0.0000 0.5000
Ga3 Ga 0.5000 0.5000 0.0000
# * total magnetization: 0.00 μB/f.u.
# * ΔH_f (0 K): -94 kJ/mol of formula units
# * symmetry: Pm-3m (221)
# * DOS(E_F): 1.63 states/eV/cell
# * raw total energy: -27.7748 eV/atom